Material: PmZn2Ni4
Method: DFT, PBE-GGA
State: relaxed

The structure in POSCAR format:
```
PmZn2Ni4
1.0
5.591 -0.529 0.000
-2.741 4.901 0.000
-1.425 -2.186 4.972
Pm Zn Ni
1 2 4
direct
0.000 0.000 0.000
0.250 0.750 0.500
0.750 0.250 0.500
0.723 0.500 0.223
0.500 0.723 0.223
0.500 0.277 0.777
0.277 0.500 0.777
```

Fermi-level density of states: 1.228 states/eV per atom
VASP energy: -28.71 eV per formula unit
polymorph energy (0 for the lowest one): 505 meV per atom
energy relative to the elements: 0.2447 eV/atom